(1)
The following is a PBE-GGA calculation of a geometry-optimized LaMo2Cl structure, from Alexandria.

Geometry as extended XYZ:
```
4
Lattice="3.293 0.000 0.000 0.000 3.293 0.000 0.000 0.000 8.534" Properties=species:S:1:pos:R:3 pbc="T T T"
Mo 1.647 1.647 1.451
Mo 0.000 0.000 0.262
Cl 0.000 0.000 4.578
La 1.647 1.647 6.509
```

## Properties
- Formation energy (no corrections): -0.120 eV/atom
- VASP energy: -7.23 eV/atom
- Energy above the lowest structure with this stoichiometry: 60 meV/atom



(2)
The following is a PBE-GGA calculation of a geometry-optimized LaMoCl2 structure, from Alexandria.

Geometry as extended XYZ:
```
4
Lattice="3.359 -0.013 0.000 0.013 3.359 0.000 0.000 0.000 8.435" Properties=species:S:1:pos:R:3 pbc="T T T"
Mo 1.686 1.673 6.668
La 0.000 0.000 4.344
Cl 1.686 1.673 2.497
Cl 0.000 0.000 7.580
```

## Properties
- Formation energy (no corrections): -0.558 eV/atom
- VASP energy: -5.42 eV/atom
- Energy above the lowest structure with this stoichiometry: 77 meV/atom